First-principles (GGA-PBE) data for crystalline TbHo3Si4 at its relaxed geometry, as listed in the Open Quantum Materials Database.

Structure (POSCAR):
```
TbHo3Si4
1.0
5.6846 0.0000 0.0000
0.0000 3.8245 0.0000
-0.0038 0.0000 7.8806
Ho Si Tb
3 4 1
Direct
0.1150 0.0000 0.3210 Ho
0.8850 0.5000 0.6791 Ho
0.3849 0.0000 0.8208 Ho
0.1291 0.5000 0.0379 Si
0.6292 0.0000 0.4622 Si
0.3709 0.5000 0.5383 Si
0.8711 0.0000 0.9616 Si
0.6149 0.5000 0.1790 Tb
```

Output
* total energy: -5.837 eV/atom
* SG: Pm, No. 6


First-principles (GGA-PBE) data for crystalline TbHoSi2 at its relaxed geometry, as listed in the Open Quantum Materials Database.

Structure (POSCAR):
```
TbHoSi2
1.0
3.8360 0.0000 0.0000
0.0000 5.6990 0.0000
0.0000 0.0000 7.9098
Ho Si Tb
2 4 2
Direct
0.5000 0.3651 0.3208 Ho
0.5000 0.6349 0.8208 Ho
0.0000 0.3791 0.0381 Si
0.5000 0.8788 0.4620 Si
0.0000 0.6209 0.5381 Si
0.5000 0.1212 0.9620 Si
0.0000 0.8647 0.1791 Tb
0.0000 0.1353 0.6791 Tb
```

Output
* total energy: -5.844 eV/atom
* SG: Pmc2_1, No. 26


First-principles (GGA-PBE) data for crystalline Tb3HoSi4 at its relaxed geometry, as listed in the Open Quantum Materials Database.

Structure (POSCAR):
```
Tb3HoSi4
1.0
5.7165 0.0000 0.0000
0.0000 3.8440 0.0000
-0.0038 0.0000 7.9282
Ho Si Tb
1 4 3
Direct
0.6151 0.0000 0.8209 Ho
0.8711 0.5000 0.0377 Si
0.3713 0.0000 0.4622 Si
0.6286 0.5000 0.5383 Si
0.1287 0.0000 0.9619 Si
0.3851 0.5000 0.1790 Tb
0.8850 0.0000 0.3209 Tb
0.1150 0.5000 0.6792 Tb
```

Output
* total energy: -5.850 eV/atom
* SG: Pm, No. 6


First-principles (GGA-PBE) data for crystalline TbHoSi2 at its relaxed geometry, as listed in the Open Quantum Materials Database.

Structure (POSCAR):
```
TbHoSi2
1.0
-0.6525 3.7886 4.2074
-2.6020 -2.2837 1.6528
5.7446 -3.5833 4.0924
Ho Si Tb
2 4 2
Direct
0.1150 0.2500 0.3210 Ho
0.8850 0.7500 0.6790 Ho
0.1285 0.7500 0.0384 Si
0.6294 0.2500 0.4623 Si
0.3706 0.7500 0.5377 Si
0.8715 0.2500 0.9616 Si
0.6148 0.7500 0.1793 Tb
0.3852 0.2500 0.8207 Tb
```

Output
* total energy: -5.844 eV/atom
* SG: P2_1/m, No. 11


First-principles (GGA-PBE) data for crystalline Ho2Si2Tc at its relaxed geometry, as listed in the Open Quantum Materials Database.

Structure (POSCAR):
```
Ho2Si2Tc
1.0
-4.0542 -1.2249 -3.9355
-0.8788 -3.9116 -4.1656
-1.8555 -2.9997 9.4189
Ho Si Tc
4 4 2
Direct
0.5056 0.5056 0.1778 Ho
0.3129 0.3129 0.3903 Ho
0.6871 0.6871 0.6097 Ho
0.4944 0.4944 0.8222 Ho
0.1414 0.1414 0.0601 Si
0.0024 0.0024 0.3782 Si
0.9976 0.9976 0.6218 Si
0.8586 0.8586 0.9399 Si
0.7730 0.7730 0.1297 Tc
0.2270 0.2270 0.8703 Tc
```

Output
* total energy: -6.828 eV/atom
* SG: C2/m, No. 12


First-principles (GGA-PBE) data for crystalline HoSi2Tc2 at its relaxed geometry, as listed in the Open Quantum Materials Database.

Structure (POSCAR):
```
HoSi2Tc2
1.0
-2.0424 2.0424 5.1124
2.0424 -2.0424 5.1124
2.0424 2.0424 -5.1124
Ho Si Tc
1 2 2
Direct
0.0000 0.0000 0.0000 Ho
0.3801 0.3801 0.0000 Si
0.6199 0.6199 0.0000 Si
0.7500 0.2500 0.5000 Tc
0.2500 0.7500 0.5000 Tc
```

Output
* total energy: -7.853 eV/atom
* SG: I4/mmm, No. 139


First-principles (GGA-PBE) data for crystalline HoSiTc at its relaxed geometry, as listed in the Open Quantum Materials Database.

Structure (POSCAR):
```
HoSiTc
1.0
0.0000 3.1027 3.1027
3.1027 0.0000 3.1027
3.1027 3.1027 0.0000
Ho Si Tc
1 1 1
Direct
0.2500 0.2500 0.2500 Ho
0.0000 0.0000 0.0000 Si
0.7500 0.7500 0.7500 Tc
```

Output
* total energy: -6.888 eV/atom
* SG: F-43m, No. 216


First-principles (GGA-PBE) data for crystalline Ho5SiTe5 at its relaxed geometry, as listed in the Open Quantum Materials Database.

Structure (POSCAR):
```
Ho5SiTe5
1.0
6.8127 -3.0378 0.0000
6.8127 3.0378 0.0000
-2.7526 0.0000 8.1144
Ho Si Te
5 1 5
Direct
0.5000 0.5000 0.0000 Ho
0.8443 0.8443 0.1585 Ho
0.1550 0.1550 0.3157 Ho
0.8450 0.8450 0.6843 Ho
0.1557 0.1557 0.8415 Ho
0.0000 0.0000 0.0000 Si
0.3358 0.3358 0.1747 Te
0.6724 0.6724 0.3361 Te
0.0000 0.0000 0.5000 Te
0.3276 0.3276 0.6639 Te
0.6642 0.6642 0.8253 Te
```

Output
* total energy: -5.293 eV/atom
* SG: C2/m, No. 12


First-principles (GGA-PBE) data for crystalline HoTlSiTe3 at its relaxed geometry, as listed in the Open Quantum Materials Database.

Structure (POSCAR):
```
HoTlSiTe3
1.0
2.3286 -7.4160 0.0000
2.3286 7.4160 0.0000
0.0000 0.0000 11.5922
Ho Si Te Tl
2 2 6 2
Direct
0.5000 0.5000 0.0000 Ho
0.5000 0.5000 0.5000 Ho
0.9690 0.0310 0.2500 Si
0.0310 0.9690 0.7500 Si
0.8648 0.1352 0.0537 Te
0.5732 0.4268 0.2500 Te
0.8648 0.1352 0.4463 Te
0.1352 0.8648 0.5537 Te
0.4268 0.5732 0.7500 Te
0.1352 0.8648 0.9463 Te
0.2497 0.7503 0.2500 Tl
0.7503 0.2497 0.7500 Tl
```

Output
* total energy: -4.128 eV/atom
* SG: Cmcm, No. 63


First-principles (GGA-PBE) data for crystalline HoThSi at its relaxed geometry, as listed in the Open Quantum Materials Database.

Structure (POSCAR):
```
HoThSi
1.0
3.4057 -2.3946 -2.5744
1.1911 -4.5948 1.1960
-1.2976 -3.7049 -2.9241
Ho Si Th
1 1 1
Direct
0.2500 0.2500 0.2500 Ho
0.0000 0.0000 0.0000 Si
0.7500 0.7500 0.7500 Th
```

Output
* total energy: -6.134 eV/atom
* SG: F-43m, No. 216


First-principles (GGA-PBE) data for crystalline HoTlSi at its relaxed geometry, as listed in the Open Quantum Materials Database.

Structure (POSCAR):
```
HoTlSi
1.0
0.0000 3.3921 3.3921
3.3921 0.0000 3.3921
3.3921 3.3921 0.0000
Ho Si Tl
1 1 1
Direct
0.2500 0.2500 0.2500 Ho
0.0000 0.0000 0.0000 Si
0.7500 0.7500 0.7500 Tl
```

Output
* energy above the lowest structure with this stoichiometry: 0.0000 eV/atom
* total energy: -4.134 eV/atom
* SG: F-43m, No. 216


First-principles (GGA-PBE) data for crystalline HoTmSi2 at its relaxed geometry, as listed in the Open Quantum Materials Database.

Structure (POSCAR):
```
HoTmSi2
1.0
3.8036 0.0000 0.0000
0.0000 2.1137 5.2170
0.0000 -2.1137 5.2170
Ho Si Tm
1 2 1
Direct
0.0000 0.1409 0.1409 Ho
0.0000 0.4226 0.4226 Si
0.5000 0.5771 0.5771 Si
0.5000 0.8595 0.8595 Tm
```

Output
* total energy: -5.797 eV/atom
* SG: Amm2, No. 38